Entry 1:
Here is a PBEsol-optimized structure of Er2AlCd from the Alexandria database. Energies are from meta-GGA SCAN.

Calculated values
The formation energy comes out at -0.406 eV/atom.

Cell: 5.0733 5.0733 5.0733 Å, 60.00 60.00 60.00°
With the nearest neighbours (Å) after each atom.
Sites, in units of the cell vectors:
Er1 0.2500 0.2500 0.2500  4 Cd 3.11, 4 Al 3.11
Er2 0.7500 0.7500 0.7500  4 Cd 3.11, 4 Al 3.11
Al1 0.0000 0.0000 0.0000  8 Er 3.11
Cd1 0.5000 0.5000 0.5000  8 Er 3.11

***

Entry 2:
Here is a PBEsol-optimized structure of MgAgF5 from the Alexandria database. Energies are from meta-GGA SCAN.

Calculated values
The formation energy from raw total energies comes out at -2.150 eV/atom.

Cell: 5.3739 5.3739 8.4298 Å, 114.55 114.55 68.93°
With the nearest neighbours (Å) after each atom.
Sites, in units of the cell vectors:
Mg1 0.0058 0.9942 0.7500  5 F 1.89-2.00
Mg2 0.9942 0.0058 0.2500  5 F 1.89-2.00
Ag1 0.5000 0.5000 0.0000  4 F 1.91-1.99
Ag2 0.5000 0.5000 0.5000  4 F 1.91-1.99
F1 0.1514 0.7634 0.0506  1 Mg 1.95, 1 Ag 1.99
F2 0.2108 0.2991 0.3394  1 Ag 1.91, 1 Mg 2.00
F3 0.2366 0.8486 0.4494  1 Mg 1.95, 1 Ag 1.99
F4 0.2991 0.2108 0.8394  1 Ag 1.91, 1 Mg 2.00
F5 0.3170 0.6830 0.7500  1 Mg 1.89
F6 0.6830 0.3170 0.2500  1 Mg 1.89
F7 0.7009 0.7892 0.1606  1 Ag 1.91, 1 Mg 2.00
F8 0.7634 0.1514 0.5506  1 Mg 1.95, 1 Ag 1.99
F9 0.7892 0.7009 0.6606  1 Ag 1.91, 1 Mg 2.00
F10 0.8486 0.2366 0.9494  1 Mg 1.95, 1 Ag 1.99

***

Entry 3:
Here is a PBEsol-optimized structure of LaCBr from the Alexandria database. Energies are from meta-GGA SCAN.

Calculated values
The formation energy from raw total energies comes out at -1.290 eV/atom.

Cell: 4.2042 4.2042 10.3395 Å, 99.05 99.05 57.19°
With the nearest neighbours (Å) after each atom.
Sites, in units of the cell vectors:
La1 0.0894 0.0894 0.3497  3 C 2.49-2.77
La2 0.9106 0.9106 0.6503  3 C 2.49-2.77
C1 0.4143 0.4143 0.4671  1 C 1.32
C2 0.5857 0.5857 0.5329  1 C 1.32
Br1 0.2949 0.2949 0.8376  3 La 3.02-3.14
Br2 0.7051 0.7051 0.1624  3 La 3.02-3.14

***

The evaluated DFT total energy for the records listed, in turn: -35.118 -9.870 -25.512 eV/atom.
The evaluated Fermi-level density of states for the records listed, in turn: 0.656 0.083 0.313 states/eV/atom.